(1)
{"formula": "Fe2RhCl", "functional": "SCAN", "state": "PBEsol geometry", "sg": "Immm, No. 71", "total_magnetization_mub_per_fu": 6.5, "e_above_lowest_polymorph_mev_per_atom": 478, "raw_formation_energy_ev_per_atom": 0.406, "lattice_angstrom": [[2.810, 0.000, 0.000], [0.000, 4.276, 0.000], [-1.405, -2.138, 4.253]], "species": ["Cl", "Fe", "Fe", "Rh"], "frac_coords": [[0.000, 0.500, 0.000], [0.731, 0.731, 0.462], [0.269, 0.269, 0.538], [0.500, 0.000, 0.000]]}

---

(2)
{"formula": "Fe2RuCl", "functional": "SCAN", "state": "PBEsol geometry", "sg": "Imm2, No. 44", "total_magnetization_mub_per_fu": 6.4, "e_above_lowest_polymorph_mev_per_atom": 266, "raw_formation_energy_ev_per_atom": 0.588, "lattice_angstrom": [[-0.176, -2.716, -0.332], [4.045, -0.079, -1.495], [-0.488, 0.822, 4.858]], "species": ["Cl", "Fe", "Fe", "Ru"], "frac_coords": [[0.254, 0.754, 0.508], [0.981, 0.981, 0.963], [0.749, 0.249, 0.498], [0.515, 0.515, 0.031]]}

---

(3)
{"formula": "FeRu3Cl", "functional": "SCAN", "state": "PBEsol geometry", "sg": "Pm-3m, No. 221", "total_magnetization_mub_per_fu": 4.9, "raw_formation_energy_ev_per_atom": 1.675, "lattice_angstrom": [[4.405, 0.000, 0.000], [0.000, 4.405, 0.000], [0.000, 0.000, 4.405]], "species": ["Ru", "Ru", "Ru", "Fe", "Cl"], "frac_coords": [[0.000, 0.500, 0.000], [0.000, 0.000, 0.500], [0.500, 0.000, 0.000], [0.000, 0.000, 0.000], [0.500, 0.500, 0.500]]}

---

(4)
{"formula": "FeRuCl2", "functional": "SCAN", "state": "PBEsol geometry", "sg": "P4mm, No. 99", "total_magnetization_mub_per_fu": 2.0, "e_above_lowest_polymorph_mev_per_atom": 0, "raw_formation_energy_ev_per_atom": 0.084, "lattice_angstrom": [[2.867, 0.000, 0.000], [0.000, 2.867, 0.000], [0.000, 0.000, 7.661]], "species": ["Ru", "Fe", "Cl", "Cl"], "frac_coords": [[0.500, 0.500, 0.723], [0.000, 0.000, 0.517], [0.000, 0.000, 0.930], [0.500, 0.500, 0.329]]}

---

(5)
{"formula": "Fe2RuCl", "functional": "SCAN", "state": "PBEsol geometry", "sg": "Cmm2, No. 35", "total_magnetization_mub_per_fu": 7.0, "e_above_lowest_polymorph_mev_per_atom": 11, "raw_formation_energy_ev_per_atom": 0.333, "lattice_angstrom": [[2.754, 0.000, 0.000], [-1.280, 2.439, 0.000], [0.000, 0.000, 7.997]], "species": ["Cl", "Fe", "Fe", "Ru"], "frac_coords": [[0.500, 0.500, 0.232], [0.000, 0.000, 0.997], [0.500, 0.500, 0.758], [0.000, 0.000, 0.512]]}

---

(6)
{"formula": "FeRuCl2", "functional": "SCAN", "state": "PBEsol geometry", "sg": "Immm, No. 71", "total_magnetization_mub_per_fu": 4.1, "e_above_lowest_polymorph_mev_per_atom": 317, "raw_formation_energy_ev_per_atom": 0.401, "lattice_angstrom": [[2.895, 0.000, 0.000], [1.447, 4.732, 0.019], [1.447, 1.634, 4.441]], "species": ["Ru", "Fe", "Cl", "Cl"], "frac_coords": [[0.000, 0.500, 0.500], [0.500, 0.000, 0.000], [0.256, 0.744, 0.744], [0.744, 0.256, 0.256]]}

---

(7)
{"formula": "FeRuCl", "functional": "SCAN", "state": "PBEsol geometry", "sg": "P3m1, No. 156", "total_magnetization_mub_per_fu": 2.8, "raw_formation_energy_ev_per_atom": 0.332, "lattice_angstrom": [[-1.533, -2.276, 0.685], [2.677, -0.305, -0.861], [1.797, 0.426, 5.440]], "species": ["Ru", "Fe", "Cl"], "frac_coords": [[0.667, 0.333, 0.350], [0.333, 0.667, 0.672], [0.000, 0.000, 0.978]]}

---

(8)
{"formula": "FeRuCl2", "functional": "SCAN", "state": "PBEsol geometry", "sg": "I-4m2, No. 119", "total_magnetization_mub_per_fu": 4.6, "e_above_lowest_polymorph_mev_per_atom": 423, "raw_formation_energy_ev_per_atom": 0.507, "lattice_angstrom": [[-2.038, -1.855, 2.067], [1.826, -2.827, -0.736], [3.202, 3.318, 3.265]], "species": ["Ru", "Fe", "Cl", "Cl"], "frac_coords": [[0.250, 0.750, 0.500], [0.500, 0.500, 0.000], [0.000, 0.000, 0.000], [0.750, 0.250, 0.500]]}

---

(9)
{"formula": "Fe2RuCl", "functional": "SCAN", "state": "PBEsol geometry", "sg": "P4mm, No. 99", "total_magnetization_mub_per_fu": 5.9, "e_above_lowest_polymorph_mev_per_atom": 0, "raw_formation_energy_ev_per_atom": 0.322, "lattice_angstrom": [[-2.324, -0.450, 1.562], [1.465, -1.761, 1.671], [1.594, 4.922, 3.789]], "species": ["Cl", "Fe", "Fe", "Ru"], "frac_coords": [[0.500, 0.500, 0.768], [0.000, 0.000, 0.018], [0.500, 0.500, 0.249], [0.000, 0.000, 0.465]]}

---

(10)
{"formula": "FeRuCl3", "functional": "SCAN", "state": "PBEsol geometry", "sg": "Pm-3m, No. 221", "total_magnetization_mub_per_fu": 3.6, "raw_formation_energy_ev_per_atom": 0.204, "lattice_angstrom": [[4.662, 0.000, 0.000], [0.000, 4.662, 0.000], [0.000, 0.000, 4.662]], "species": ["Ru", "Fe", "Cl", "Cl", "Cl"], "frac_coords": [[0.000, 0.000, 0.000], [0.500, 0.500, 0.500], [0.000, 0.500, 0.000], [0.000, 0.000, 0.500], [0.500, 0.000, 0.000]]}

---

(11)
{"formula": "FeSCl3", "functional": "SCAN", "state": "PBEsol geometry", "sg": "Pm-3m, No. 221", "total_magnetization_mub_per_fu": 7.0, "raw_formation_energy_ev_per_atom": -0.089, "lattice_angstrom": [[-0.088, -3.376, 3.286], [0.594, -3.269, -3.342], [4.674, 0.352, 0.486]], "species": ["S", "Fe", "Cl", "Cl", "Cl"], "frac_coords": [[0.500, 0.500, 0.500], [0.000, 0.000, 0.000], [0.000, 0.500, 0.000], [0.000, 0.000, 0.500], [0.500, 0.000, 0.000]]}

---

(12)
{"formula": "FeSCl7", "functional": "SCAN", "state": "PBEsol geometry", "sg": "P2_1/c, No. 14", "total_magnetization_mub_per_fu": 5.0, "raw_formation_energy_ev_per_atom": -0.586, "lattice_angstrom": [[-1.258, 6.185, -0.554], [-5.604, -2.057, -10.226], [-11.344, -4.068, 7.035]], "species": ["Fe", "Fe", "Fe", "Fe", "S", "S", "S", "S", "Cl", "Cl", "Cl", "Cl", "Cl", "Cl", "Cl", "Cl", "Cl", "Cl", "Cl", "Cl", "Cl", "Cl", "Cl", "Cl", "Cl", "Cl", "Cl", "Cl", "Cl", "Cl", "Cl", "Cl", "Cl", "Cl", "Cl", "Cl"], "frac_coords": [[0.396, 0.517, 0.756], [0.604, 0.017, 0.744], [0.604, 0.483, 0.244], [0.396, 0.983, 0.256], [0.033, 0.260, 0.091], [0.967, 0.760, 0.409], [0.967, 0.740, 0.909], [0.033, 0.240, 0.591], [0.851, 0.366, 0.998], [0.180, 0.864, 0.893], [0.622, 0.943, 0.388], [0.622, 0.557, 0.888], [0.820, 0.136, 0.107], [0.534, 0.951, 0.126], [0.466, 0.049, 0.874], [0.466, 0.451, 0.374], [0.893, 0.383, 0.253], [0.378, 0.057, 0.612], [0.205, 0.183, 0.000], [0.324, 0.163, 0.260], [0.180, 0.636, 0.393], [0.324, 0.337, 0.760], [0.378, 0.443, 0.112], [0.107, 0.883, 0.247], [0.851, 0.134, 0.498], [0.893, 0.117, 0.753], [0.534, 0.549, 0.626], [0.795, 0.817, 0.000], [0.676, 0.837, 0.740], [0.205, 0.317, 0.500], [0.820, 0.364, 0.607], [0.795, 0.683, 0.500], [0.676, 0.663, 0.240], [0.149, 0.634, 0.002], [0.149, 0.866, 0.502], [0.107, 0.617, 0.747]]}

---

(13)
{"formula": "ScFeSCl2", "functional": "SCAN", "state": "PBEsol geometry", "sg": "P4/mmm, No. 123", "total_magnetization_mub_per_fu": 2.0, "raw_formation_energy_ev_per_atom": -0.652, "lattice_angstrom": [[4.424, 0.000, 0.000], [0.000, 4.424, 0.000], [0.000, 0.000, 4.624]], "species": ["Sc", "S", "Fe", "Cl", "Cl"], "frac_coords": [[0.500, 0.500, 0.500], [0.000, 0.000, 0.500], [0.000, 0.000, 0.000], [0.000, 0.500, 0.000], [0.500, 0.000, 0.000]]}

---

(14)
{"formula": "FeTc2SCl", "functional": "SCAN", "state": "PBEsol geometry", "sg": "P4/mmm, No. 123", "total_magnetization_mub_per_fu": 5.9, "raw_formation_energy_ev_per_atom": 0.860, "lattice_angstrom": [[-1.831, 3.273, 1.673], [-2.930, 0.038, -3.280], [-2.629, -2.656, 2.318]], "species": ["S", "Cl", "Tc", "Tc", "Fe"], "frac_coords": [[0.000, 0.000, 0.000], [0.500, 0.500, 0.500], [0.000, 0.000, 0.500], [0.000, 0.500, 0.000], [0.500, 0.000, 0.000]]}

---

(15)
{"formula": "TiFeS2Cl", "functional": "SCAN", "state": "PBEsol geometry", "sg": "P4/mmm, No. 123", "total_magnetization_mub_per_fu": 5.0, "raw_formation_energy_ev_per_atom": -0.153, "lattice_angstrom": [[4.422, 0.000, 0.000], [0.000, 4.404, 0.000], [0.000, 0.000, 4.404]], "species": ["S", "S", "Cl", "Fe", "Ti"], "frac_coords": [[0.000, 0.000, 0.500], [0.000, 0.500, 0.000], [0.500, 0.000, 0.000], [0.000, 0.000, 0.000], [0.500, 0.500, 0.500]]}

---

(16)
{"formula": "ZrFeSCl2", "functional": "SCAN", "state": "PBEsol geometry", "sg": "P4/mmm, No. 123", "total_magnetization_mub_per_fu": 0.2, "raw_formation_energy_ev_per_atom": -0.276, "lattice_angstrom": [[4.352, 0.000, 0.000], [0.000, 4.352, 0.000], [0.000, 0.000, 4.569]], "species": ["S", "Fe", "Zr", "Cl", "Cl"], "frac_coords": [[0.000, 0.000, 0.500], [0.000, 0.000, 0.000], [0.500, 0.500, 0.500], [0.000, 0.500, 0.000], [0.500, 0.000, 0.000]]}

---

(17)
{"formula": "Fe2SbCl", "functional": "SCAN", "state": "PBEsol geometry", "sg": "Pmm2, No. 25", "total_magnetization_mub_per_fu": 5.3, "raw_formation_energy_ev_per_atom": -0.108, "lattice_angstrom": [[-1.523, -2.651, 1.510], [-0.112, -1.645, -3.002], [5.923, -2.690, 1.252]], "species": ["Sb", "Fe", "Fe", "Cl"], "frac_coords": [[0.000, 0.625, 0.412], [0.000, 0.125, 0.114], [0.500, 0.625, 0.113], [0.500, 0.125, 0.861]]}

---

(18)
{"formula": "FeSbCl3", "functional": "SCAN", "state": "PBEsol geometry", "sg": "Pm-3m, No. 221", "total_magnetization_mub_per_fu": 4.5, "raw_formation_energy_ev_per_atom": 0.114, "lattice_angstrom": [[-4.882, 0.500, -2.005], [0.181, -5.020, -1.693], [-2.058, -1.628, 4.606]], "species": ["Sb", "Fe", "Cl", "Cl", "Cl"], "frac_coords": [[0.000, 0.000, 0.000], [0.500, 0.500, 0.500], [0.000, 0.500, 0.000], [0.000, 0.000, 0.500], [0.500, 0.000, 0.000]]}

---

(19)
{"formula": "Fe2SbCl", "functional": "SCAN", "state": "PBEsol geometry", "sg": "I-4m2, No. 119", "total_magnetization_mub_per_fu": 5.4, "raw_formation_energy_ev_per_atom": 0.525, "lattice_angstrom": [[3.591, 0.000, 0.000], [0.000, 3.591, 0.000], [-1.796, -1.796, 5.126]], "species": ["Sb", "Fe", "Fe", "Cl"], "frac_coords": [[0.500, 0.500, 0.000], [0.000, 0.000, 0.000], [0.750, 0.250, 0.500], [0.250, 0.750, 0.500]]}

---

(20)
{"formula": "FeSbCl2", "functional": "SCAN", "state": "PBEsol geometry", "sg": "Cmmm, No. 65", "total_magnetization_mub_per_fu": 3.7, "raw_formation_energy_ev_per_atom": 0.266, "lattice_angstrom": [[-2.905, -0.421, 0.982], [1.793, -1.917, 4.486], [-0.561, 5.139, 0.541]], "species": ["Sb", "Fe", "Cl", "Cl"], "frac_coords": [[0.500, 0.500, 0.500], [0.500, 0.000, 0.000], [0.000, 0.500, 0.000], [0.000, 0.000, 0.500]]}

---

(21)
{"formula": "Fe2SbCl", "functional": "SCAN", "state": "PBEsol geometry", "sg": "R3m, No. 160", "total_magnetization_mub_per_fu": 0.0, "raw_formation_energy_ev_per_atom": 0.213, "lattice_angstrom": [[3.546, 0.000, 0.000], [1.773, 3.071, 0.000], [1.773, 1.024, 6.862]], "species": ["Sb", "Fe", "Fe", "Cl"], "frac_coords": [[0.466, 0.466, 0.601], [0.023, 0.023, 0.930], [0.724, 0.724, 0.829], [0.287, 0.287, 0.140]]}

---

(22)
{"formula": "ScFeCl2", "functional": "SCAN", "state": "PBEsol geometry", "sg": "P4mm, No. 99", "total_magnetization_mub_per_fu": 2.9, "e_above_lowest_polymorph_mev_per_atom": 0, "raw_formation_energy_ev_per_atom": -0.933, "lattice_angstrom": [[-2.290, -1.586, -1.421], [2.051, -1.081, -2.098], [1.384, -5.965, 4.426]], "species": ["Sc", "Fe", "Cl", "Cl"], "frac_coords": [[0.500, 0.500, 0.731], [0.000, 0.000, 0.487], [0.000, 0.000, 0.939], [0.500, 0.500, 0.343]]}

---

(23)
{"formula": "ScFeCl2", "functional": "SCAN", "state": "PBEsol geometry", "sg": "Pmmm, No. 47", "total_magnetization_mub_per_fu": 2.7, "e_above_lowest_polymorph_mev_per_atom": 366, "raw_formation_energy_ev_per_atom": -0.568, "lattice_angstrom": [[3.088, 0.000, 0.000], [0.000, 3.962, 0.000], [0.000, 0.000, 5.543]], "species": ["Sc", "Fe", "Cl", "Cl"], "frac_coords": [[0.000, 0.500, 0.500], [0.500, 0.500, 0.000], [0.000, 0.000, 0.000], [0.500, 0.000, 0.500]]}

---

(24)
{"formula": "ScFeCl2", "functional": "SCAN", "state": "PBEsol geometry", "sg": "C2/m, No. 12", "total_magnetization_mub_per_fu": 1.2, "e_above_lowest_polymorph_mev_per_atom": 51, "raw_formation_energy_ev_per_atom": -0.882, "lattice_angstrom": [[3.332, 0.000, 0.000], [0.000, 4.044, 0.025], [-1.666, -0.387, 6.223]], "species": ["Sc", "Fe", "Cl", "Cl"], "frac_coords": [[0.500, 0.000, 0.000], [0.000, 0.500, 0.000], [0.144, 0.223, 0.289], [0.856, 0.777, 0.711]]}

---

(25)
{"formula": "ScFe2Cl", "functional": "SCAN", "state": "PBEsol geometry", "sg": "F-43m, No. 216", "total_magnetization_mub_per_fu": 5.5, "raw_formation_energy_ev_per_atom": 0.231, "lattice_angstrom": [[-2.430, 3.576, -0.594], [-1.952, 1.902, 3.409], [1.416, 3.866, 1.448]], "species": ["Sc", "Fe", "Fe", "Cl"], "frac_coords": [[0.250, 0.250, 0.250], [0.000, 0.000, 0.000], [0.750, 0.750, 0.750], [0.500, 0.500, 0.500]]}

---

(26)
{"formula": "Fe2SeCl", "functional": "SCAN", "state": "PBEsol geometry", "sg": "P4/mmm, No. 123", "total_magnetization_mub_per_fu": 6.6, "e_above_lowest_polymorph_mev_per_atom": 0, "raw_formation_energy_ev_per_atom": 0.128, "lattice_angstrom": [[-1.021, -2.674, 0.858], [2.690, 0.093, 3.492], [-3.151, 1.966, 2.376]], "species": ["Fe", "Fe", "Se", "Cl"], "frac_coords": [[0.000, 0.000, 0.500], [0.000, 0.500, 0.000], [0.500, 0.500, 0.500], [0.500, 0.000, 0.000]]}

---

(27)
{"formula": "Fe2SeCl", "functional": "SCAN", "state": "PBEsol geometry", "sg": "Immm, No. 71", "total_magnetization_mub_per_fu": 6.3, "e_above_lowest_polymorph_mev_per_atom": 20, "raw_formation_energy_ev_per_atom": 0.148, "lattice_angstrom": [[-1.541, -1.282, 2.212], [3.133, -3.060, 2.424], [1.270, 2.326, 4.246]], "species": ["Fe", "Fe", "Se", "Cl"], "frac_coords": [[0.253, 0.747, 0.747], [0.747, 0.253, 0.253], [0.500, 0.000, 0.000], [0.000, 0.500, 0.500]]}